VASP calculation (GGA-PBE) on Sr4CrCo after structural relaxation.

```
data_Sr4CrCo
_chemical_formula_sum 'Sr4 Cr1 Co1'
_space_group_name_H-M_alt 'P 1'
_space_group_IT_number 1
_space_group_name_Hall 'P 1'
_cell_length_a 7.0694
_cell_length_b 7.0694
_cell_length_c 7.0694
_cell_angle_alpha 60.00
_cell_angle_beta 60.00
_cell_angle_gamma 60.00
loop_
_atom_site_label
_atom_site_fract_x
_atom_site_fract_y
_atom_site_fract_z
Sr1 0.1248 0.1248 0.1248
Sr2 0.1248 0.1248 0.6257
Sr3 0.1248 0.6257 0.1248
Sr4 0.6257 0.1248 0.1248
Cr1 0.5000 0.5000 0.5000
Co1 0.7500 0.7500 0.7500
```

Calculated values
- Density: 3.07 g/cm³
- DOS(E_F): 10.16 states/eV/f.u.
- Energy of formation from the pure elements: 7.4 eV/f.u.

***

VASP calculation (GGA-PBE) on Tb6PrTl3 after structural relaxation.

```
data_Tb6PrTl3
_chemical_formula_sum 'Tb12 Pr2 Tl6'
_space_group_name_H-M_alt 'P 1'
_space_group_IT_number 1
_space_group_name_Hall 'P 1'
_cell_length_a 8.6219
_cell_length_b 8.6219
_cell_length_c 8.5793
_cell_angle_alpha 90.00
_cell_angle_beta 90.00
_cell_angle_gamma 95.61
loop_
_atom_site_label
_atom_site_fract_x
_atom_site_fract_y
_atom_site_fract_z
Tb1 0.0359 0.9641 0.5000
Tb2 0.0627 0.4279 0.6173
Tb3 0.2339 0.7661 0.8902
Tb4 0.2642 0.3912 0.9714
Tb5 0.3912 0.2642 0.4714
Tb6 0.4279 0.0627 0.1173
Tb7 0.5721 0.9373 0.6173
Tb8 0.6088 0.7358 0.9714
Tb9 0.7358 0.6088 0.4714
Tb10 0.7661 0.2339 0.3902
Tb11 0.9373 0.5721 0.1173
Tb12 0.9641 0.0359 0.0000
Pr1 0.3196 0.6804 0.3093
Pr2 0.6804 0.3196 0.8093
Tl1 0.1024 0.2749 0.2692
Tl2 0.2749 0.1024 0.7692
Tl3 0.4252 0.5748 0.6681
Tl4 0.5748 0.4252 0.1681
Tl5 0.7251 0.8976 0.2692
Tl6 0.8976 0.7251 0.7692
```

Calculated values
- Density: 8.93 g/cm³
- DOS(E_F): 13.43 states/eV/f.u.
- Energy of formation from the pure elements: -1.4 eV/f.u.

***

VASP calculation (GGA-PBE) on ZrBeSb2 after structural relaxation.

```
data_ZrBeSb2
_chemical_formula_sum 'Zr1 Be1 Sb2'
_space_group_name_H-M_alt 'P 1'
_space_group_IT_number 1
_space_group_name_Hall 'P 1'
_cell_length_a 5.8750
_cell_length_b 5.8750
_cell_length_c 3.8944
_cell_angle_alpha 91.33
_cell_angle_beta 91.33
_cell_angle_gamma 38.46
loop_
_atom_site_label
_atom_site_fract_x
_atom_site_fract_y
_atom_site_fract_z
Zr1 0.0000 0.0000 0.0000
Be1 0.1829 0.1829 0.5139
Sb1 0.4082 0.4082 0.4916
Sb2 0.7056 0.7056 0.0096
```

Calculated values
- Density: 6.83 g/cm³
- DOS(E_F): 2.78 states/eV/f.u.
- Energy: -21.485 eV per cell